1.
Entry from Alexandria: a relaxed Rb3CaBi crystal (GGA-PBE).

Calculated values
final energy: -1.67 eV/atom
energy relative to the lowest polymorph listed for this composition: 0.0 kJ/mol of formula units
formation energy: 0.086 eV per atom

Cell: 7.2110 7.2110 7.2110 Å, 90.00 90.00 90.00°
Space group Pm-3m (No. 221)
Symmetry-distinct sites (fractional):
Rb 0.0000 0.0000 0.5000 (multiplicity 3)
Ca 0.5000 0.5000 0.5000 (multiplicity 1)
Bi 0.0000 0.0000 0.0000 (multiplicity 1)

***

2.
Entry from Alexandria: a relaxed RbCaBi3 crystal (GGA-PBE).

Calculated values
final energy: -2.18 eV/atom
energy relative to the lowest polymorph listed for this composition: 350.0 kJ/mol of formula units
formation energy: 0.747 eV per atom

Cell: 6.0689 6.0689 6.0689 Å, 90.00 90.00 90.00°
Space group Pm-3m (No. 221)
Symmetry-distinct sites (fractional):
Rb 0.0000 0.0000 0.0000 (multiplicity 1)
Ca 0.5000 0.5000 0.5000 (multiplicity 1)
Bi 0.0000 0.0000 0.5000 (multiplicity 3)

***

3.
Entry from Alexandria: a relaxed RbCaBi2 crystal (GGA-PBE).

Calculated values
final energy: -3.00 eV/atom
energy relative to the lowest polymorph listed for this composition: 85.5 kJ/mol of formula units
formation energy: -0.321 eV per atom

Cell: 8.2936 8.2936 8.2936 Å, 90.00 90.00 90.00°
Space group Fm-3m (No. 225)
Symmetry-distinct sites (fractional):
Rb 0.0000 0.0000 0.0000 (multiplicity 4)
Ca 0.0000 0.0000 0.5000 (multiplicity 4)
Bi 0.2500 0.2500 0.2500 (multiplicity 8)

***

4.
Entry from Alexandria: a relaxed RbCaBi2 crystal (GGA-PBE).

Calculated values
final energy: -3.07 eV/atom
energy relative to the lowest polymorph listed for this composition: 61.0 kJ/mol of formula units
formation energy: -0.384 eV per atom

Cell: 5.2726 5.2726 4.9888 Å, 90.00 90.00 90.00°
Space group P4/mmm (No. 123)
Symmetry-distinct sites (fractional):
Rb 0.0000 0.0000 0.0000 (multiplicity 1)
Ca 0.5000 0.5000 0.0000 (multiplicity 1)
Bi 0.0000 0.5000 0.5000 (multiplicity 2)

***

Which of these has the highest formation energy? RbCaBi3

***

Which value of final energy does entry 2 give? -2.18 eV/atom

***

Copy entry 2 word for word.
Entry from Alexandria: a relaxed RbCaBi3 crystal (GGA-PBE).

Calculated values
final energy: -2.18 eV/atom
energy relative to the lowest polymorph listed for this composition: 350.0 kJ/mol of formula units
formation energy: 0.747 eV per atom

Cell: 6.0689 6.0689 6.0689 Å, 90.00 90.00 90.00°
Space group Pm-3m (No. 221)
Symmetry-distinct sites (fractional):
Rb 0.0000 0.0000 0.0000 (multiplicity 1)
Ca 0.5000 0.5000 0.5000 (multiplicity 1)
Bi 0.0000 0.0000 0.5000 (multiplicity 3)

***

Which value of formation energy does entry 3 give? -0.321 eV per atom